No. 1
{"formula": "Nb3HOs", "functional": "GGA-PBEsol", "state": "relaxed", "e_tot_ev_per_atom": -9.56, "density_g_cm3": 11.2, "m_tot_mub_per_atom": 0.000, "sg": "Pm-3m (221)", "lattice": [[4.110, 0.000, 0.000], [0.000, 4.110, 0.000], [0.000, 0.000, 4.110]], "species": ["Nb", "Nb", "Nb", "H", "Os"], "fractional_positions": [[0.000, 0.000, 0.500], [0.000, 0.500, 0.000], [0.500, 0.000, 0.000], [0.000, 0.000, 0.000], [0.500, 0.500, 0.500]]}

***

No. 2
{"formula": "Mn2CuOs", "functional": "GGA-PBEsol", "state": "relaxed", "delta_e_f_mev_per_atom": 325.1, "density_g_cm3": 12.4, "m_tot_mub_per_atom": 1.179, "sg": "F-43m (216)", "lattice": [[0.000, 2.902, 2.902], [2.902, 0.000, 2.902], [2.902, 2.902, 0.000]], "species": ["Mn", "Mn", "Cu", "Os"], "fractional_positions": [[0.000, 0.000, 0.000], [0.250, 0.250, 0.250], [0.750, 0.750, 0.750], [0.500, 0.500, 0.500]]}

***

No. 3
{"formula": "Be2AlRe", "functional": "GGA-PBEsol", "state": "relaxed", "delta_e_f_mev_per_atom": 131.1, "density_g_cm3": 8.1, "m_tot_mub_per_atom": 0.000, "sg": "P4mm (99)", "lattice": [[3.023, 0.000, 0.000], [0.000, 3.023, 0.000], [0.000, 0.000, 5.159]], "species": ["Be", "Be", "Al", "Re"], "fractional_positions": [[0.000, 0.000, 0.000], [0.500, 0.500, 0.230], [0.500, 0.500, 0.732], [0.000, 0.000, 0.457]]}